Record 1
The following is a DFT calculation (GGA-PBE) of crystalline LiSn3Pt at its relaxed geometry.

Unit cell a=8.943 b=3.787 c=6.744 alpha=90.00 beta=90.00 gamma=90.00
Element x y z (fractional)
Li 0.250 0.000 0.042
Li 0.750 0.000 0.958
Sn 0.031 0.000 0.743
Sn 0.250 0.500 0.357
Sn 0.469 0.000 0.743
Sn 0.531 0.000 0.257
Sn 0.750 0.500 0.643
Sn 0.969 0.000 0.257
Pt 0.250 0.500 0.750
Pt 0.750 0.500 0.250

Summary:
* DFT formation energy: -0.28 eV/atom
* spin magnetization: 0.0 μB per formula unit
* relative energy among the computed polymorphs: 33 kJ/mol of formula units
* VASP energy: -0.3138 Ry per atom
* symmetry: No. 51



Record 2
The following is a DFT calculation (GGA-PBE) of crystalline Ba2CuPt at its relaxed geometry.

Unit cell a=8.688 b=8.688 c=8.688 alpha=151.04 beta=149.84 gamma=42.30
Element x y z (fractional)
Ba 0.000 0.000 0.000
Ba 0.725 0.225 0.500
Cu 0.151 0.651 0.500
Pt 0.581 0.581 0.000

Summary:
* DFT formation energy: -0.35 eV/atom
* spin magnetization: 0.0 μB per formula unit
* VASP energy: -0.2829 Ry per atom
* symmetry: No. 44



Record 3
The following is a DFT calculation (GGA-PBE) of crystalline BaSb2F at its relaxed geometry.

Unit cell a=9.251 b=9.251 c=9.251 alpha=143.77 beta=143.77 gamma=52.17
Element x y z (fractional)
Ba 0.000 0.000 0.000
Ba 0.750 0.250 0.500
Sb 0.314 0.125 0.689
Sb 0.375 0.686 0.811
Sb 0.436 0.625 0.311
Sb 0.875 0.564 0.189
F 0.250 0.750 0.500
F 0.500 0.500 0.000

Summary:
* ΔE_f (raw): -0.865 eV per atom
* spin magnetization: 0.0 μB per formula unit
* relative energy among the computed polymorphs: 0 kJ/mol of formula units
* VASP energy: -0.2848 Ry per atom
* symmetry: No. 122